Entry 1:
First-principles (PBE) data for a relaxed HfRe2Pd crystal, as listed in the Alexandria database.

Geometry as extended XYZ:
```
4
Lattice="-2.6577 1.3769 3.3984 -2.2410 3.9219 -0.3242 -4.5006 0.0013 -0.5029" Properties=species:S:1:pos:R:3 pbc="T T T"
Re -2.3498 1.3250 0.6429
Re -7.0495 3.9751 1.9286
Hf -4.6997 2.6501 1.2857
Pd 0.0000 0.0000 0.0000
```

## Properties
The total energy comes out at -9.707 eV per atom. The size of the total moment is 0.00 μB per formula unit. As for the offset from the most stable computed form: 0 meV/atom. For the volume, the calculation gives 16.4 Å³/atom.

Entry 2:
First-principles (PBE) data for a relaxed Hf2RePd crystal, as listed in the Alexandria database.

Geometry as extended XYZ:
```
8
Lattice="4.2329 0.0000 0.0000 0.0000 4.2329 0.0000 2.1165 2.1165 8.9778" Properties=species:S:1:pos:R:3 pbc="T T T"
Re 0.0000 0.0000 0.0000
Re 4.2329 2.1165 4.4889
Hf 3.1944 1.0582 2.2445
Hf 1.0385 3.1747 2.2445
Hf 3.1747 3.1549 6.7334
Hf 5.2911 5.3109 6.7334
Pd 2.1165 2.1165 0.0000
Pd 2.1165 4.2329 4.4889
```

## Properties
The total energy comes out at -8.884 eV per atom. The size of the total moment is 0.12 μB per formula unit. For the volume, the calculation gives 20.1 Å³/atom.

Entry 3:
First-principles (PBE) data for a relaxed Hf2RePd crystal, as listed in the Alexandria database.

Geometry as extended XYZ:
```
4
Lattice="-0.1083 4.8947 3.4129 -4.5545 -2.9415 -2.4944 0.2032 -5.9161 -0.7592" Properties=species:S:1:pos:R:3 pbc="T T T"
Hf -1.0787 -2.1959 -0.8066
Hf -3.2725 -6.6617 -2.4470
Re -2.1756 -4.4288 -1.6268
Pd 0.0000 0.0000 0.0000
```

## Properties
The total energy comes out at -8.925 eV per atom. The size of the total moment is 0.00 μB per formula unit. For the volume, the calculation gives 19.0 Å³/atom.

Entry 4:
First-principles (PBE) data for a relaxed Hf2RePd crystal, as listed in the Alexandria database.

Geometry as extended XYZ:
```
4
Lattice="-2.0473 -3.7689 -1.8228 2.5709 -3.2382 -2.1501 0.6198 -4.1745 1.9770" Properties=species:S:1:pos:R:3 pbc="T T T"
Re 0.8576 -8.3862 -1.4970
Hf 0.0000 0.0000 0.0000
Hf 0.5717 -5.5908 -0.9980
Pd 0.2859 -2.7954 -0.4990
```

## Properties
The total energy comes out at -9.945 eV per atom. The size of the total moment is 0.00 μB per formula unit. For the volume, the calculation gives 17.9 Å³/atom.

Entry 5:
First-principles (PBE) data for a relaxed Hf2RePd crystal, as listed in the Alexandria database.

Geometry as extended XYZ:
```
4
Lattice="-0.1660 -3.0335 1.2955 2.4499 0.7552 2.0823 -4.4113 2.1282 4.4182" Properties=species:S:1:pos:R:3 pbc="T T T"
Re 1.1420 -1.1391 1.6889
Hf -3.3585 1.6203 3.3637
Hf -1.0528 0.5079 1.0545
Pd -1.0637 -0.0750 3.8980
```

## Properties
The total energy comes out at -9.987 eV per atom. The size of the total moment is 0.00 μB per formula unit. For the volume, the calculation gives 18.0 Å³/atom.

Entry 6:
First-principles (PBE) data for a relaxed HfRePd2S crystal, as listed in the Alexandria database.

Geometry as extended XYZ:
```
5
Lattice="-2.5297 -3.4099 -2.3813 3.3769 -3.3744 1.2447 -2.4891 -0.9917 4.0643" Properties=species:S:1:pos:R:3 pbc="T T T"
Re 1.6884 -1.6872 0.6223
S -0.8210 -3.8880 1.4638
Hf 0.0000 0.0000 0.0000
Pd -1.2445 -0.4959 2.0321
Pd -1.2649 -1.7049 -1.1906
```

## Properties
The total energy comes out at -5.835 eV per atom. The size of the total moment is 1.99 μB per formula unit. For the volume, the calculation gives 23.4 Å³/atom. The formation energy (no corrections) is 1548 meV/atom.

Entry 7:
First-principles (PBE) data for a relaxed HfRe2SbPd crystal, as listed in the Alexandria database.

Geometry as extended XYZ:
```
5
Lattice="4.7832 0.0000 0.0000 0.0000 4.8570 0.0000 0.0000 0.0000 4.7832" Properties=species:S:1:pos:R:3 pbc="T T T"
Re 0.0000 0.0000 2.3916
Re 2.3916 0.0000 0.0000
Hf 0.0000 2.4285 0.0000
Pd 0.0000 0.0000 0.0000
Sb 2.3916 2.4285 2.3916
```

## Properties
The total energy comes out at -7.266 eV per atom. The size of the total moment is 0.08 μB per formula unit. For the volume, the calculation gives 22.2 Å³/atom. The formation energy (no corrections) is 1567 meV/atom.

Entry 8:
First-principles (PBE) data for a relaxed Hf2ReSnPd crystal, as listed in the Alexandria database.

Geometry as extended XYZ:
```
5
Lattice="4.9357 0.0000 0.0000 0.0000 4.7950 0.0000 0.0000 0.0000 4.9357" Properties=species:S:1:pos:R:3 pbc="T T T"
Re 0.0000 2.3975 0.0000
Hf 0.0000 0.0000 2.4678
Hf 2.4678 0.0000 0.0000
Sn 2.4678 2.3975 2.4678
Pd 0.0000 0.0000 0.0000
```

## Properties
The total energy comes out at -7.485 eV per atom. The size of the total moment is 0.00 μB per formula unit. For the volume, the calculation gives 23.4 Å³/atom.

Q: size of the total moment of number 6 (HfRePd2S)?
A: 1.99 μB per formula unit

Q: Which formula does entry 1 have?
A: HfRe2Pd